The following is a DFT calculation (PBE-GGA) of a relaxed structure of ErGa3CoRu.

Summary:
Its symmetry is No. 63. As for the formation energy: -28.2 kJ per mole of atoms. The calculation puts the mass density at 8.07 g cm⁻³. Its density of states at the Fermi level is 5.81 states/eV/cell. As for the calculated total energy: -0.3893 Ry per atom.

Cell lengths 5.5103, 7.7248, 6.4689 Å; angles 126.66, 90.00, 90.00 degrees
Positions (direct):
1 Er 0.7500 0.2921 0.5842
2 Er 0.2500 0.7079 0.4158
3 Ga 0.2500 0.1865 0.3730
4 Ga 0.0000 0.2497 0.0000
5 Ga 0.5000 0.7503 0.0000
6 Ga 0.5000 0.2497 0.0000
7 Ga 0.0000 0.7503 0.0000
8 Ga 0.7500 0.8135 0.6270
9 Co 0.2500 0.9643 0.9286
10 Co 0.7500 0.0357 0.0714
11 Ru 0.2500 0.4184 0.8368
12 Ru 0.7500 0.5816 0.1632

The following is a DFT calculation (PBE-GGA) of a relaxed structure of Pr6Si2I3N.

Summary:
Its symmetry is No. 12. The uncorrected formation energy is -1010.2 meV/atom. The calculation puts the mass density at 6.06 g cm⁻³. Its density of states at the Fermi level is 4.85 states/eV/cell. As for the calculated total energy: -0.3958 Ry per atom.

Cell lengths 7.2138, 7.2138, 8.2383 Å; angles 98.39, 98.39, 119.93 degrees
Positions (direct):
1 Pr 0.9388 0.6334 0.8157
2 Pr 0.7567 0.7567 0.1867
3 Pr 0.0612 0.3666 0.1843
4 Pr 0.6334 0.9388 0.8157
5 Pr 0.2433 0.2433 0.8133
6 Pr 0.3666 0.0612 0.1843
7 Si 0.3339 0.6661 0.0000
8 Si 0.6661 0.3339 0.0000
9 I 0.1730 0.8270 0.5000
10 I 0.8270 0.1730 0.5000
11 I 0.5000 0.5000 0.5000
12 N 0.0000 0.0000 0.0000

The following is a DFT calculation (PBE-GGA) of a relaxed structure of Er3ZnGe3.

Summary:
Its symmetry is No. 176. As for the formation energy: -50.3 kJ per mole of atoms. The calculation puts the mass density at 7.25 g cm⁻³. Its density of states at the Fermi level is 6.55 states/eV/cell. As for the calculated total energy: -0.3408 Ry per atom.

Cell lengths 5.7780, 8.4774, 8.4774 Å; angles 120.00, 90.00, 90.00 degrees
Positions (direct):
1 Er 0.7500 0.6920 0.6432
2 Er 0.7500 0.3568 0.0488
3 Er 0.7500 0.9512 0.3080
4 Er 0.2500 0.3080 0.3568
5 Er 0.2500 0.6432 0.9512
6 Er 0.2500 0.0488 0.6920
7 Zn 0.2500 0.6667 0.3333
8 Zn 0.7500 0.3333 0.6667
9 Ge 0.2500 0.6881 0.6414
10 Ge 0.2500 0.3586 0.0467
11 Ge 0.2500 0.9533 0.3119
12 Ge 0.7500 0.3119 0.3586
13 Ge 0.7500 0.6414 0.9533
14 Ge 0.7500 0.0467 0.6881

The following is a DFT calculation (PBE-GGA) of a relaxed structure of CaPmY4Er2.

Summary:
Its symmetry is No. 15. As for the formation energy: 41.9 kJ per mole of atoms. The calculation puts the mass density at 5.29 g cm⁻³. Its density of states at the Fermi level is 35.07 states/eV/cell. As for the calculated total energy: -0.3515 Ry per atom.

Cell lengths 9.6271, 9.6271, 11.9804 Å; angles 128.55, 128.55, 88.30 degrees
Each line ends with the local moment (μB).
Positions (direct):
1 Ca 0.5000 0.5000 0.5000  0.02
2 Ca 0.0000 0.0000 0.0000  0.02
3 Pm 0.0000 0.5000 0.0000  0.26
4 Pm 0.0000 0.5000 0.5000  0.26
5 Y 0.2565 0.7461 0.0015  0.18
6 Y 0.7539 0.2435 0.4985  0.18
7 Y 0.2461 0.7565 0.5015  0.18
8 Y 0.7435 0.2539 0.9985  0.18
9 Y 0.7415 0.7480 0.0112  0.17
10 Y 0.7520 0.7585 0.4888  0.17
11 Y 0.2480 0.2415 0.5112  0.17
12 Y 0.2585 0.2520 0.9888  0.17
13 Er 0.5000 0.0000 0.0000  0.24
14 Er 0.5000 0.0000 0.5000  0.24
15 Er 0.0000 0.0000 0.5000  0.19
16 Er 0.5000 0.5000 0.0000  0.19

Copy entry 2 word for word.
The following is a DFT calculation (PBE-GGA) of a relaxed structure of Pr6Si2I3N.

Summary:
Its symmetry is No. 12. The uncorrected formation energy is -1010.2 meV/atom. The calculation puts the mass density at 6.06 g cm⁻³. Its density of states at the Fermi level is 4.85 states/eV/cell. As for the calculated total energy: -0.3958 Ry per atom.

Cell lengths 7.2138, 7.2138, 8.2383 Å; angles 98.39, 98.39, 119.93 degrees
Positions (direct):
1 Pr 0.9388 0.6334 0.8157
2 Pr 0.7567 0.7567 0.1867
3 Pr 0.0612 0.3666 0.1843
4 Pr 0.6334 0.9388 0.8157
5 Pr 0.2433 0.2433 0.8133
6 Pr 0.3666 0.0612 0.1843
7 Si 0.3339 0.6661 0.0000
8 Si 0.6661 0.3339 0.0000
9 I 0.1730 0.8270 0.5000
10 I 0.8270 0.1730 0.5000
11 I 0.5000 0.5000 0.5000
12 N 0.0000 0.0000 0.0000